1.
The following is a DFT calculation (PBE) of a relaxed CsNaZrS3 crystal.

**V**: 28.222 Å³ per atom
**Relative energy among the computed polymorphs**: 0 meV/atom

Unit cell a=15.6241 b=3.9493 c=10.9769 alpha=90.00 beta=90.00 gamma=90.00
Last column: nearest neighbours and their distance in Å.
Element x y z (fractional)
1 Cs 0.2408 0.2500 0.0335  5 S 3.44-3.86
2 Cs 0.2592 0.7500 0.5335  5 S 3.44-3.86
3 Cs 0.7408 0.2500 0.4665  5 S 3.44-3.86
4 Cs 0.7592 0.7500 0.9665  5 S 3.44-3.86
5 Na 0.0299 0.7500 0.0874  4 S 2.61-2.75, 2 Na 2.91
6 Na 0.4701 0.2500 0.5874  4 S 2.61-2.75, 2 Na 2.91
7 Na 0.5299 0.7500 0.4126  4 S 2.61-2.75, 2 Na 2.91
8 Na 0.9701 0.2500 0.9126  4 S 2.61-2.75, 2 Na 2.91
9 Zr 0.0135 0.2500 0.3430  6 S 2.49-2.67
10 Zr 0.4865 0.7500 0.8430  6 S 2.49-2.67
11 Zr 0.5135 0.2500 0.1570  6 S 2.49-2.67
12 Zr 0.9865 0.7500 0.6570  6 S 2.49-2.67
13 S 0.0749 0.7500 0.8454  1 Zr 2.49, 3 Na 2.67-2.75
14 S 0.0801 0.2500 0.5666  3 Zr 2.65-2.67
15 S 0.1189 0.7500 0.2886  1 Na 2.61, 2 Zr 2.64
16 S 0.3811 0.2500 0.7886  1 Na 2.61, 2 Zr 2.64
17 S 0.4199 0.7500 0.0666  3 Zr 2.65-2.67
18 S 0.4251 0.2500 0.3454  1 Zr 2.49, 3 Na 2.67-2.75
19 S 0.5749 0.7500 0.6546  1 Zr 2.49, 3 Na 2.67-2.75
20 S 0.5801 0.2500 0.9334  3 Zr 2.65-2.67
21 S 0.6189 0.7500 0.2114  1 Na 2.61, 2 Zr 2.64
22 S 0.8811 0.2500 0.7114  1 Na 2.61, 2 Zr 2.64
23 S 0.9199 0.7500 0.4334  3 Zr 2.65-2.67
24 S 0.9251 0.2500 0.1546  1 Zr 2.49, 3 Na 2.67-2.75

=====

2.
The following is a DFT calculation (PBE) of a relaxed ErLuCu2Sn2 crystal.

**V**: 20.855 Å³ per atom
**Raw total energy**: -4.67 eV/atom

Unit cell a=4.5008 b=4.5008 c=7.1327 alpha=90.00 beta=90.00 gamma=120.00
Last column: nearest neighbours and their distance in Å.
Element x y z (fractional)
1 Er 0.0000 0.0000 0.0000  3 Cu 2.90, 6 Sn 3.08-3.24
2 Lu 0.0000 0.0000 0.4996  3 Cu 2.88, 6 Sn 3.07-3.23
3 Cu 0.3333 0.6667 0.8199  4 Sn 2.68-2.94, 3 Er 2.90
4 Cu 0.6667 0.3333 0.3254  4 Sn 2.68-2.87, 3 Lu 2.88
5 Sn 0.3333 0.6667 0.2317  4 Cu 2.68-2.94
6 Sn 0.6667 0.3333 0.7282  4 Cu 2.68-2.87

=====

Please write out number 1 again, unchanged.
The following is a DFT calculation (PBE) of a relaxed CsNaZrS3 crystal.

**V**: 28.222 Å³ per atom
**Relative energy among the computed polymorphs**: 0 meV/atom

Unit cell a=15.6241 b=3.9493 c=10.9769 alpha=90.00 beta=90.00 gamma=90.00
Last column: nearest neighbours and their distance in Å.
Element x y z (fractional)
1 Cs 0.2408 0.2500 0.0335  5 S 3.44-3.86
2 Cs 0.2592 0.7500 0.5335  5 S 3.44-3.86
3 Cs 0.7408 0.2500 0.4665  5 S 3.44-3.86
4 Cs 0.7592 0.7500 0.9665  5 S 3.44-3.86
5 Na 0.0299 0.7500 0.0874  4 S 2.61-2.75, 2 Na 2.91
6 Na 0.4701 0.2500 0.5874  4 S 2.61-2.75, 2 Na 2.91
7 Na 0.5299 0.7500 0.4126  4 S 2.61-2.75, 2 Na 2.91
8 Na 0.9701 0.2500 0.9126  4 S 2.61-2.75, 2 Na 2.91
9 Zr 0.0135 0.2500 0.3430  6 S 2.49-2.67
10 Zr 0.4865 0.7500 0.8430  6 S 2.49-2.67
11 Zr 0.5135 0.2500 0.1570  6 S 2.49-2.67
12 Zr 0.9865 0.7500 0.6570  6 S 2.49-2.67
13 S 0.0749 0.7500 0.8454  1 Zr 2.49, 3 Na 2.67-2.75
14 S 0.0801 0.2500 0.5666  3 Zr 2.65-2.67
15 S 0.1189 0.7500 0.2886  1 Na 2.61, 2 Zr 2.64
16 S 0.3811 0.2500 0.7886  1 Na 2.61, 2 Zr 2.64
17 S 0.4199 0.7500 0.0666  3 Zr 2.65-2.67
18 S 0.4251 0.2500 0.3454  1 Zr 2.49, 3 Na 2.67-2.75
19 S 0.5749 0.7500 0.6546  1 Zr 2.49, 3 Na 2.67-2.75
20 S 0.5801 0.2500 0.9334  3 Zr 2.65-2.67
21 S 0.6189 0.7500 0.2114  1 Na 2.61, 2 Zr 2.64
22 S 0.8811 0.2500 0.7114  1 Na 2.61, 2 Zr 2.64
23 S 0.9199 0.7500 0.4334  3 Zr 2.65-2.67
24 S 0.9251 0.2500 0.1546  1 Zr 2.49, 3 Na 2.67-2.75